This record from Alexandria via LeMat-Bulk describes a relaxed Cd2Se crystal. The functional is PBE.

Values from the calculation:
E_form (uncorrected)   -186 meV/atom
Energy above the lowest structure with this stoichiometry   76 meV per atom

Cell lengths 6.0589, 6.0589, 8.0031 Å; angles 90.00, 90.00, 90.00 degrees
With the nearest neighbours (Å) after each atom.
Space group I4/mcm (No. 140)
One atom of each set of equivalent atoms:
1 Cd 0.1664 0.3336 0.0000 (multiplicity 8)  5 Cd 2.85-3.19, 4 Se 3.02
2 Se 0.0000 0.0000 0.2500 (multiplicity 4)  8 Cd 3.02